Below is crystalline K2TlV2O6 at its relaxed geometry, with properties calculated at the GGA+U level.

Structure (POSCAR):
```
K2TlV2O6
1.0
6.237 0.000 0.000
-3.119 5.340 -0.259
0.000 -3.362 6.163
O Tl V K
6 1 2 2
Direct
0.186 0.904 0.211 O
0.228 0.456 0.354 O
0.718 0.904 0.211 O
0.772 0.544 0.646 O
0.282 0.096 0.789 O
0.814 0.096 0.789 O
0.500 0.000 0.500 Tl
0.960 0.919 0.786 V
0.040 0.081 0.214 V
0.295 0.590 0.827 K
0.705 0.410 0.173 K
```

Values from the calculation:
calculated total energy: -6.00 eV/atom
spin magnetization: 0.00 μB/f.u.